(1)
{"formula": "TaBe2NbGa", "functional": "GGA-PBE", "state": "relaxed", "vol_a3_per_atom": 17.0, "de_polymorph_mev_per_atom": 421, "lattice": [[4.255, 0.000, 0.000], [0.000, 4.255, 0.000], [0.000, 0.000, 4.707]], "species": ["Ta", "Be", "Be", "Nb", "Ga"], "fractional_positions": [[0.000, 0.000, 0.000], [0.000, 0.500, 0.500], [0.500, 0.000, 0.500], [0.500, 0.500, 0.500], [0.500, 0.500, 0.000]]}


(2)
{"formula": "PrY2Er9", "functional": "GGA-PBE", "state": "relaxed", "vol_a3_per_atom": 31.6, "de_polymorph_mev_per_atom": 20, "lattice": [[11.185, 0.000, 0.000], [-5.592, 9.686, 0.000], [0.000, 0.000, 3.497]], "species": ["Pr", "Y", "Y", "Er", "Er", "Er", "Er", "Er", "Er", "Er", "Er", "Er"], "fractional_positions": [[0.000, 0.000, 0.000], [0.333, 0.667, 0.000], [0.667, 0.333, 0.000], [0.000, 0.500, 0.000], [0.178, 0.356, 0.500], [0.178, 0.822, 0.500], [0.356, 0.178, 0.500], [0.500, 0.000, 0.000], [0.500, 0.500, 0.000], [0.644, 0.822, 0.500], [0.822, 0.178, 0.500], [0.822, 0.644, 0.500]]}


Number 1: energy relative to the elements 1.309 eV/atom, DOS at the Fermi energy 4.0 states/eV per cell. Number 2: energy relative to the elements 0.047 eV/atom, DOS at the Fermi energy 17.1 states/eV per cell.